{"formula": "ScBr2Cl", "functional": "PBE", "state": "relaxed", "polymorph_energy_mev_per_atom": 832, "dos_ef_per_ev_fu": 2.19, "rho_g_cm3": 4.4, "energy_ev_per_cell": -15.41, "e_form_raw_mev_per_atom": -971, "cell": [[3.4790, 0.0000, 0.0000], [0.0000, 3.4790, 0.0000], [0.0000, 0.0000, 7.5556]], "species": ["Sc", "Br", "Br", "Cl"], "fractional_positions": [[0.0000, 0.0000, 0.0000], [0.5000, 0.5000, 0.2080], [0.5000, 0.5000, 0.7920], [0.0000, 0.0000, 0.5000]]}